A relaxed structure of AgAs2H. Source: Alexandria via LeMat-Bulk, functional GGA-PBE.

Computed properties:
Its energy above the most stable polymorph in this dataset is 0.56 eV per formula unit.

Lattice parameters (Å, degrees): 6.313 6.313 6.313 90.00 90.00 90.00
Space group Fm-3m (No. 225)
Unique sites:
1 Ag 0.000 0.000 0.000 x4
2 As 0.250 0.250 0.250 x8
3 H 0.000 0.000 0.500 x4